(1)
VASP calculation (PBE-GGA) on a geometry-optimized LiZn2CoCu4 structure.

Values from the calculation:
Final energy ... -26.523 eV/cell
Magnetization ... 1.01 μB per cell

CIF file:
```
data_LiZn2CoCu4
_chemical_formula_sum 'Li1 Zn2 Co1 Cu4'
_cell_length_a 4.039
_cell_length_b 4.039
_cell_length_c 5.877
_cell_angle_alpha 90.00
_cell_angle_beta 90.00
_cell_angle_gamma 90.00
_space_group_name_H-M_alt 'P 4/m m m'
_space_group_IT_number 123
_space_group_name_Hall '-P 4 2'
loop_
_atom_site_label
_atom_site_type_symbol
_atom_site_fract_x
_atom_site_fract_y
_atom_site_fract_z
_atom_site_occupancy
Li1 Li 0.000 0.000 0.000 1
Zn1 Zn 0.000 0.000 0.500 1
Zn2 Zn 0.500 0.500 0.000 1
Co1 Co 0.500 0.500 0.500 1
Cu1 Cu 0.000 0.500 0.252 1
```



(2)
VASP calculation (PBE-GGA) on a geometry-optimized Lu4CoCuN2 structure.

Values from the calculation:
Final energy ... -51.998 eV/cell
Magnetization ... 0.92 μB per cell

CIF file:
```
data_Lu4CoCuN2
_chemical_formula_sum 'Lu4 Co1 Cu1 N2'
_cell_length_a 3.3505
_cell_length_b 3.3505
_cell_length_c 13.6046
_cell_angle_alpha 90.00
_cell_angle_beta 90.00
_cell_angle_gamma 120.00
_space_group_name_H-M_alt 'P -6 m 2'
_space_group_IT_number 187
_space_group_name_Hall 'P -6 2'
loop_
_atom_site_label
_atom_site_type_symbol
_atom_site_fract_x
_atom_site_fract_y
_atom_site_fract_z
_atom_site_occupancy
Lu1 Lu 0.0000 0.0000 0.1438 1
Lu2 Lu 0.3333 0.6667 0.3446 1
Co1 Co 0.3333 0.6667 0.0000 1
Cu1 Cu 0.0000 0.0000 0.5000 1
N1 N 0.6667 0.3333 0.2491 1
```



(3)
VASP calculation (PBE-GGA) on a geometry-optimized LuCoCuSi structure.

Values from the calculation:
Final energy ... -85.938 eV/cell
Magnetization ... 0.08 μB per cell

CIF file:
```
data_LuCoCuSi
_chemical_formula_sum 'Lu4 Co4 Cu4 Si4'
_cell_length_a 6.175
_cell_length_b 6.175
_cell_length_c 6.175
_cell_angle_alpha 90.00
_cell_angle_beta 90.00
_cell_angle_gamma 90.00
_space_group_name_H-M_alt 'F -4 3 m'
_space_group_IT_number 216
_space_group_name_Hall 'F -4 2 3'
loop_
_atom_site_label
_atom_site_type_symbol
_atom_site_fract_x
_atom_site_fract_y
_atom_site_fract_z
_atom_site_occupancy
Lu1 Lu 0.000 0.000 0.000 1
Co1 Co 0.000 0.000 0.500 1
Cu1 Cu 0.250 0.250 0.750 1
Si1 Si 0.250 0.250 0.250 1
```



(4)
VASP calculation (PBE-GGA) on a geometry-optimized LuCoCuSi structure.

Values from the calculation:
Final energy ... -83.384 eV/cell
Magnetization ... 5.05 μB per cell

CIF file:
```
data_LuCoCuSi
_chemical_formula_sum 'Lu4 Co4 Cu4 Si4'
_cell_length_a 6.255
_cell_length_b 6.255
_cell_length_c 6.255
_cell_angle_alpha 90.00
_cell_angle_beta 90.00
_cell_angle_gamma 90.00
_space_group_name_H-M_alt 'F -4 3 m'
_space_group_IT_number 216
_space_group_name_Hall 'F -4 2 3'
loop_
_atom_site_label
_atom_site_type_symbol
_atom_site_fract_x
_atom_site_fract_y
_atom_site_fract_z
_atom_site_occupancy
Lu1 Lu 0.000 0.000 0.000 1
Co1 Co 0.250 0.250 0.750 1
Cu1 Cu 0.000 0.000 0.500 1
Si1 Si 0.250 0.250 0.250 1
```



(5)
VASP calculation (PBE-GGA) on a geometry-optimized LuCoCuSi structure.

Values from the calculation:
Final energy ... -87.725 eV/cell
Magnetization ... 0.08 μB per cell

CIF file:
```
data_LuCoCuSi
_chemical_formula_sum 'Lu4 Co4 Cu4 Si4'
_cell_length_a 6.109
_cell_length_b 6.109
_cell_length_c 6.109
_cell_angle_alpha 90.00
_cell_angle_beta 90.00
_cell_angle_gamma 90.00
_space_group_name_H-M_alt 'F -4 3 m'
_space_group_IT_number 216
_space_group_name_Hall 'F -4 2 3'
loop_
_atom_site_label
_atom_site_type_symbol
_atom_site_fract_x
_atom_site_fract_y
_atom_site_fract_z
_atom_site_occupancy
Lu1 Lu 0.000 0.000 0.000 1
Co1 Co 0.250 0.250 0.750 1
Cu1 Cu 0.250 0.250 0.250 1
Si1 Si 0.000 0.000 0.500 1
```



(6)
VASP calculation (PBE-GGA) on a geometry-optimized LuCoCuSn structure.

Values from the calculation:
Final energy ... -78.346 eV/cell
Magnetization ... 0.13 μB per cell

CIF file:
```
data_LuCoCuSn
_chemical_formula_sum 'Lu4 Co4 Cu4 Sn4'
_cell_length_a 6.502
_cell_length_b 6.502
_cell_length_c 6.502
_cell_angle_alpha 90.00
_cell_angle_beta 90.00
_cell_angle_gamma 90.00
_space_group_name_H-M_alt 'F -4 3 m'
_space_group_IT_number 216
_space_group_name_Hall 'F -4 2 3'
loop_
_atom_site_label
_atom_site_type_symbol
_atom_site_fract_x
_atom_site_fract_y
_atom_site_fract_z
_atom_site_occupancy
Lu1 Lu 0.000 0.000 0.000 1
Co1 Co 0.000 0.000 0.500 1
Cu1 Cu 0.250 0.250 0.750 1
Sn1 Sn 0.250 0.250 0.250 1
```



(7)
VASP calculation (PBE-GGA) on a geometry-optimized LuCoCuSn structure.

Values from the calculation:
Final energy ... -81.900 eV/cell
Magnetization ... 0.08 μB per cell

CIF file:
```
data_LuCoCuSn
_chemical_formula_sum 'Lu4 Co4 Cu4 Sn4'
_cell_length_a 6.433
_cell_length_b 6.433
_cell_length_c 6.433
_cell_angle_alpha 90.00
_cell_angle_beta 90.00
_cell_angle_gamma 90.00
_space_group_name_H-M_alt 'F -4 3 m'
_space_group_IT_number 216
_space_group_name_Hall 'F -4 2 3'
loop_
_atom_site_label
_atom_site_type_symbol
_atom_site_fract_x
_atom_site_fract_y
_atom_site_fract_z
_atom_site_occupancy
Lu1 Lu 0.000 0.000 0.000 1
Co1 Co 0.250 0.250 0.750 1
Cu1 Cu 0.250 0.250 0.250 1
Sn1 Sn 0.000 0.000 0.500 1
```



(8)
VASP calculation (PBE-GGA) on a geometry-optimized LuCoCuSn structure.

Values from the calculation:
Final energy ... -76.667 eV/cell
Magnetization ... 5.48 μB per cell

CIF file:
```
data_LuCoCuSn
_chemical_formula_sum 'Lu4 Co4 Cu4 Sn4'
_cell_length_a 6.586
_cell_length_b 6.586
_cell_length_c 6.586
_cell_angle_alpha 90.00
_cell_angle_beta 90.00
_cell_angle_gamma 90.00
_space_group_name_H-M_alt 'F -4 3 m'
_space_group_IT_number 216
_space_group_name_Hall 'F -4 2 3'
loop_
_atom_site_label
_atom_site_type_symbol
_atom_site_fract_x
_atom_site_fract_y
_atom_site_fract_z
_atom_site_occupancy
Lu1 Lu 0.000 0.000 0.000 1
Co1 Co 0.250 0.250 0.750 1
Cu1 Cu 0.000 0.000 0.500 1
Sn1 Sn 0.250 0.250 0.250 1
```



(9)
VASP calculation (PBE-GGA) on a geometry-optimized LuTaCoCu structure.

Values from the calculation:
Calculated formation energy ... 0.006 eV/atom
Final energy ... -108.699 eV/cell
Magnetization ... 0.36 μB per cell

CIF file:
```
data_LuTaCoCu
_chemical_formula_sum 'Lu4 Ta4 Co4 Cu4'
_cell_length_a 6.370
_cell_length_b 6.370
_cell_length_c 6.370
_cell_angle_alpha 90.00
_cell_angle_beta 90.00
_cell_angle_gamma 90.00
_space_group_name_H-M_alt 'F -4 3 m'
_space_group_IT_number 216
_space_group_name_Hall 'F -4 2 3'
loop_
_atom_site_label
_atom_site_type_symbol
_atom_site_fract_x
_atom_site_fract_y
_atom_site_fract_z
_atom_site_occupancy
Lu1 Lu 0.000 0.000 0.000 1
Ta1 Ta 0.000 0.000 0.500 1
Co1 Co 0.250 0.250 0.250 1
Cu1 Cu 0.250 0.250 0.750 1
```



(10)
VASP calculation (PBE-GGA) on a geometry-optimized LuTaCoCu structure.

Values from the calculation:
Calculated formation energy ... 0.212 eV/atom
Final energy ... -105.411 eV/cell
Magnetization ... 0.00 μB per cell

CIF file:
```
data_LuTaCoCu
_chemical_formula_sum 'Lu4 Ta4 Co4 Cu4'
_cell_length_a 6.290
_cell_length_b 6.290
_cell_length_c 6.290
_cell_angle_alpha 90.00
_cell_angle_beta 90.00
_cell_angle_gamma 90.00
_space_group_name_H-M_alt 'F -4 3 m'
_space_group_IT_number 216
_space_group_name_Hall 'F -4 2 3'
loop_
_atom_site_label
_atom_site_type_symbol
_atom_site_fract_x
_atom_site_fract_y
_atom_site_fract_z
_atom_site_occupancy
Lu1 Lu 0.000 0.000 0.000 1
Ta1 Ta 0.250 0.250 0.250 1
Co1 Co 0.000 0.000 0.500 1
Cu1 Cu 0.250 0.250 0.750 1
```



(11)
VASP calculation (PBE-GGA) on a geometry-optimized LuTlCoCu structure.

Values from the calculation:
Final energy ... -70.872 eV/cell
Magnetization ... 2.90 μB per cell

CIF file:
```
data_LuTlCoCu
_chemical_formula_sum 'Lu4 Tl4 Co4 Cu4'
_cell_length_a 6.518
_cell_length_b 6.518
_cell_length_c 6.518
_cell_angle_alpha 90.00
_cell_angle_beta 90.00
_cell_angle_gamma 90.00
_space_group_name_H-M_alt 'F -4 3 m'
_space_group_IT_number 216
_space_group_name_Hall 'F -4 2 3'
loop_
_atom_site_label
_atom_site_type_symbol
_atom_site_fract_x
_atom_site_fract_y
_atom_site_fract_z
_atom_site_occupancy
Lu1 Lu 0.000 0.000 0.000 1
Tl1 Tl 0.000 0.000 0.500 1
Co1 Co 0.250 0.250 0.750 1
Cu1 Cu 0.250 0.250 0.250 1
```



(12)
VASP calculation (PBE-GGA) on a geometry-optimized LuTlCoCu structure.

Values from the calculation:
Final energy ... -68.000 eV/cell
Magnetization ... 0.03 μB per cell

CIF file:
```
data_LuTlCoCu
_chemical_formula_sum 'Lu4 Tl4 Co4 Cu4'
_cell_length_a 6.600
_cell_length_b 6.600
_cell_length_c 6.600
_cell_angle_alpha 90.00
_cell_angle_beta 90.00
_cell_angle_gamma 90.00
_space_group_name_H-M_alt 'F -4 3 m'
_space_group_IT_number 216
_space_group_name_Hall 'F -4 2 3'
loop_
_atom_site_label
_atom_site_type_symbol
_atom_site_fract_x
_atom_site_fract_y
_atom_site_fract_z
_atom_site_occupancy
Lu1 Lu 0.000 0.000 0.000 1
Tl1 Tl 0.250 0.250 0.250 1
Co1 Co 0.000 0.000 0.500 1
Cu1 Cu 0.250 0.250 0.750 1
```